No. 1
Material: LiScTa2
Method: DFT, PBE-GGA
State: optimized geometry

Structure (CIF):
```
data_LiScTa2
_chemical_formula_sum 'Li1 Sc1 Ta2'
_cell_length_a 2.832
_cell_length_b 2.832
_cell_length_c 9.252
_cell_angle_alpha 90.00
_cell_angle_beta 90.00
_cell_angle_gamma 90.00
_symmetry_space_group_name_H-M 'P 4/m m m'
_symmetry_Int_Tables_number 123
_symmetry_space_group_name_Hall '-P 4 2'
loop_
_atom_site_label
_atom_site_fract_x
_atom_site_fract_y
_atom_site_fract_z
_atom_site_occupancy
Li1 0.000 0.000 0.000 1
Sc1 0.000 0.000 0.500 1
Ta1 0.500 0.500 0.243 1
```

Its mass density is 9.26 g cm⁻³. The total energy comes out at -7.59 eV/atom. For the calculated formation energy, the calculation gives 0.3978 eV per atom.

***

No. 2
Material: LiScTa2
Method: DFT, PBE-GGA
State: optimized geometry

Structure (CIF):
```
data_LiScTa2
_chemical_formula_sum 'Li4 Sc4 Ta8'
_cell_length_a 3.867
_cell_length_b 3.867
_cell_length_c 20.730
_cell_angle_alpha 90.00
_cell_angle_beta 90.00
_cell_angle_gamma 90.00
_symmetry_space_group_name_H-M 'I -4 2 d'
_symmetry_Int_Tables_number 122
_symmetry_space_group_name_Hall 'I -4 2bw'
loop_
_atom_site_label
_atom_site_fract_x
_atom_site_fract_y
_atom_site_fract_z
_atom_site_occupancy
Li1 0.000 0.000 0.000 1
Sc1 0.000 0.000 0.500 1
Ta1 0.249 0.750 0.625 1
```

Its mass density is 8.87 g cm⁻³. The total energy comes out at -7.36 eV/atom. For the calculated formation energy, the calculation gives 0.6297 eV per atom.

***

No. 3
Material: LiScTa2
Method: DFT, PBE-GGA
State: optimized geometry

Structure (CIF):
```
data_LiScTa2
_chemical_formula_sum 'Li1 Sc1 Ta2'
_cell_length_a 2.883
_cell_length_b 4.736
_cell_length_c 5.618
_cell_angle_alpha 90.00
_cell_angle_beta 93.16
_cell_angle_gamma 90.00
_symmetry_space_group_name_H-M 'P 1 m 1'
_symmetry_Int_Tables_number 6
_symmetry_space_group_name_Hall 'P -2y'
loop_
_atom_site_label
_atom_site_fract_x
_atom_site_fract_y
_atom_site_fract_z
_atom_site_occupancy
Li1 0.000 0.000 0.000 1
Sc1 0.577 0.500 0.210 1
Ta1 0.050 0.500 0.689 1
Ta2 0.478 0.000 0.538 1
```

Its mass density is 8.97 g cm⁻³. The total energy comes out at -7.68 eV/atom. For the calculated formation energy, the calculation gives 0.3060 eV per atom.

***

No. 4
Material: LiScTa2
Method: DFT, PBE-GGA
State: optimized geometry

Structure (CIF):
```
data_LiScTa2
_chemical_formula_sum 'Li2 Sc2 Ta4'
_cell_length_a 3.430
_cell_length_b 4.653
_cell_length_c 9.894
_cell_angle_alpha 90.00
_cell_angle_beta 90.00
_cell_angle_gamma 90.00
_symmetry_space_group_name_H-M 'C m m 2'
_symmetry_Int_Tables_number 35
_symmetry_space_group_name_Hall 'C 2 -2'
loop_
_atom_site_label
_atom_site_fract_x
_atom_site_fract_y
_atom_site_fract_z
_atom_site_occupancy
Li1 0.000 0.000 0.000 1
Sc1 0.000 0.500 0.278 1
Ta1 0.000 0.000 0.522 1
Ta2 0.000 0.500 0.746 1
```

Its mass density is 8.70 g cm⁻³. The total energy comes out at -7.77 eV/atom. For the calculated formation energy, the calculation gives 0.2166 eV per atom.

***

No. 5
Material: LiScTa2
Method: DFT, PBE-GGA
State: optimized geometry

Structure (CIF):
```
data_LiScTa2
_chemical_formula_sum 'Li2 Sc2 Ta4'
_cell_length_a 9.664
_cell_length_b 2.861
_cell_length_c 5.599
_cell_angle_alpha 90.00
_cell_angle_beta 95.79
_cell_angle_gamma 90.00
_symmetry_space_group_name_H-M 'C 1 m 1'
_symmetry_Int_Tables_number 8
_symmetry_space_group_name_Hall 'C -2y'
loop_
_atom_site_label
_atom_site_fract_x
_atom_site_fract_y
_atom_site_fract_z
_atom_site_occupancy
Li1 0.000 0.000 0.000 1
Sc1 0.245 0.000 0.757 1
Ta1 0.247 0.500 0.284 1
Ta2 0.489 0.000 0.464 1
```

Its mass density is 8.92 g cm⁻³. The total energy comes out at -7.64 eV/atom. For the calculated formation energy, the calculation gives 0.3457 eV per atom.

***

No. 6
Material: LiScTa
Method: DFT, PBE-GGA
State: optimized geometry

Structure (CIF):
```
data_LiScTa
_chemical_formula_sum 'Li2 Sc2 Ta2'
_cell_length_a 3.226
_cell_length_b 4.705
_cell_length_c 7.907
_cell_angle_alpha 83.71
_cell_angle_beta 78.26
_cell_angle_gamma 89.98
_symmetry_space_group_name_H-M 'P -1'
_symmetry_Int_Tables_number 2
_symmetry_space_group_name_Hall '-P 1'
loop_
_atom_site_label
_atom_site_fract_x
_atom_site_fract_y
_atom_site_fract_z
_atom_site_occupancy
Li1 0.072 0.198 0.357 1
Sc1 0.397 0.303 0.706 1
Ta1 0.264 0.754 0.972 1
```

Its mass density is 6.62 g cm⁻³. The total energy comes out at -6.49 eV/atom. For the calculated formation energy, the calculation gives 0.2103 eV per atom.

***

No. 7
Material: LiScTa2
Method: DFT, PBE-GGA
State: optimized geometry

Structure (CIF):
```
data_LiScTa2
_chemical_formula_sum 'Li2 Sc2 Ta4'
_cell_length_a 3.233
_cell_length_b 4.515
_cell_length_c 10.031
_cell_angle_alpha 90.00
_cell_angle_beta 90.00
_cell_angle_gamma 90.00
_symmetry_space_group_name_H-M 'I m m m'
_symmetry_Int_Tables_number 71
_symmetry_space_group_name_Hall '-I 2 2'
loop_
_atom_site_label
_atom_site_fract_x
_atom_site_fract_y
_atom_site_fract_z
_atom_site_occupancy
Li1 0.000 0.000 0.000 1
Sc1 0.000 0.000 0.500 1
Ta1 0.000 0.500 0.267 1
```

Its mass density is 9.39 g cm⁻³. The total energy comes out at -7.74 eV/atom. For the calculated formation energy, the calculation gives 0.2440 eV per atom.

***

No. 8
Material: LiScTa2
Method: DFT, PBE-GGA
State: optimized geometry

Structure (CIF):
```
data_LiScTa2
_chemical_formula_sum 'Li2 Sc2 Ta4'
_cell_length_a 5.495
_cell_length_b 10.238
_cell_length_c 2.859
_cell_angle_alpha 90.00
_cell_angle_beta 111.30
_cell_angle_gamma 90.00
_symmetry_space_group_name_H-M 'C 1 2/m 1'
_symmetry_Int_Tables_number 12
_symmetry_space_group_name_Hall '-C 2y'
loop_
_atom_site_label
_atom_site_fract_x
_atom_site_fract_y
_atom_site_fract_z
_atom_site_occupancy
Li1 0.000 0.000 0.000 1
Sc1 0.000 0.500 0.000 1
Ta1 0.250 0.250 0.500 1
```

Its mass density is 9.17 g cm⁻³. The total energy comes out at -7.66 eV/atom. For the calculated formation energy, the calculation gives 0.3325 eV per atom.

***

Question: What is the calculated formation energy in the third record?
Answer: 0.3060 eV per atom

***

Question: What is the formula in the seventh record?
Answer: LiScTa2

***

Question: What is the mass density in the fourth record?
Answer: 8.70 g cm⁻³